# 1
A relaxed Re2MoBr crystal. Source: Alexandria via LeMat-Bulk, functional PBE.

Summary:
Size of the total moment: 0.0 Bohr magnetons per cell
Raw formation energy: 0.661 eV/atom
Offset from the most stable computed form: 64 meV/atom
Space group: R-3m (166)
DOS(E_F): 1.59 states/eV/cell

Cell lengths 8.8581, 8.8581, 8.8581 Å; angles 19.09, 19.09, 19.09 degrees
Last column: nearest neighbours and their distance in Å.
Atoms (fractional coordinates):
Re1 0.0024 0.0024 0.0024  3 Mo 2.71, 3 Br 2.81, 6 Re 2.94
Re2 0.4976 0.4976 0.4976  3 Mo 2.71, 3 Br 2.81, 6 Re 2.94
Mo1 0.7500 0.7500 0.7500  6 Re 2.71, 6 Mo 2.94
Br1 0.2500 0.2500 0.2500  6 Re 2.81, 6 Br 2.94


# 2
A relaxed ReMo2Br crystal. Source: Alexandria via LeMat-Bulk, functional PBE.

Summary:
Size of the total moment: 0.0 Bohr magnetons per cell
Raw formation energy: 1.163 eV/atom
Offset from the most stable computed form: 757 meV/atom
Space group: I4/mmm (139)
DOS(E_F): 3.62 states/eV/cell

Cell lengths 5.1492, 5.1492, 5.1492 Å; angles 136.20, 136.20, 63.67 degrees
Last column: nearest neighbours and their distance in Å.
Atoms (fractional coordinates):
Re1 0.2500 0.7500 0.5000  4 Br 2.72, 8 Mo 2.91
Mo1 0.0000 0.0000 0.0000  4 Mo 2.72, 4 Re 2.91, 4 Br 2.91
Mo2 0.5000 0.5000 0.0000  4 Mo 2.72, 4 Re 2.91, 4 Br 2.91
Br1 0.7500 0.2500 0.5000  4 Re 2.72, 8 Mo 2.91


# 3
A relaxed ReMoBr2 crystal. Source: Alexandria via LeMat-Bulk, functional PBE.

Summary:
Size of the total moment: 0.0 Bohr magnetons per cell
Raw formation energy: 0.461 eV/atom
Offset from the most stable computed form: 326 meV/atom
Space group: Imm2 (44)
DOS(E_F): 3.39 states/eV/cell

Cell lengths 9.3865, 9.3865, 9.3865 Å; angles 160.07, 160.66, 27.91 degrees
Last column: nearest neighbours and their distance in Å.
Atoms (fractional coordinates):
Re1 0.6720 0.1720 0.5000  2 Mo 2.39
Mo1 0.5760 0.5760 0.0000  2 Re 2.39
Br1 0.9793 0.9793 0.0000  4 Mo 2.87, 2 Br 3.15
Br2 0.2727 0.7727 0.5000  4 Re 2.91, 4 Br 3.15-3.25


# 4
A relaxed ReMo2Br crystal. Source: Alexandria via LeMat-Bulk, functional PBE.

Summary:
Size of the total moment: 0.0 Bohr magnetons per cell
Raw formation energy: 1.122 eV/atom
Offset from the most stable computed form: 716 meV/atom
Space group: F-43m (216)
DOS(E_F): 6.92 states/eV/cell

Cell lengths 4.5088, 4.5088, 4.5088 Å; angles 60.00, 60.00, 60.00 degrees
Last column: nearest neighbours and their distance in Å.
Atoms (fractional coordinates):
Re1 0.7500 0.7500 0.7500  4 Mo 2.76, 4 Br 2.76
Mo1 0.0000 0.0000 0.0000  4 Re 2.76, 4 Mo 2.76
Mo2 0.2500 0.2500 0.2500  4 Mo 2.76, 4 Br 2.76
Br1 0.5000 0.5000 0.5000  4 Mo 2.76, 4 Re 2.76


# 5
A relaxed Re2MoBr crystal. Source: Alexandria via LeMat-Bulk, functional PBE.

Summary:
Size of the total moment: 0.0 Bohr magnetons per cell
Raw formation energy: 1.122 eV/atom
Offset from the most stable computed form: 526 meV/atom
Space group: F-43m (216)
DOS(E_F): 5.84 states/eV/cell

Cell lengths 4.4882, 4.4882, 4.4882 Å; angles 60.00, 60.00, 60.00 degrees
Last column: nearest neighbours and their distance in Å.
Atoms (fractional coordinates):
Re1 0.0000 0.0000 0.0000  4 Mo 2.75, 4 Re 2.75
Re2 0.2500 0.2500 0.2500  4 Re 2.75, 4 Br 2.75
Mo1 0.7500 0.7500 0.7500  4 Br 2.75, 4 Re 2.75
Br1 0.5000 0.5000 0.5000  4 Mo 2.75, 4 Re 2.75


# 6
A relaxed ReMo2Br crystal. Source: Alexandria via LeMat-Bulk, functional PBE.

Summary:
Size of the total moment: 0.0 Bohr magnetons per cell
Raw formation energy: 0.480 eV/atom
Offset from the most stable computed form: 74 meV/atom
Space group: R-3m (166)
DOS(E_F): 3.17 states/eV/cell

Cell lengths 8.9612, 8.9612, 8.9612 Å; angles 18.81, 18.81, 18.81 degrees
Last column: nearest neighbours and their distance in Å.
Atoms (fractional coordinates):
Re1 0.2500 0.2500 0.2500  6 Mo 2.74, 6 Re 2.93
Mo1 0.9986 0.9986 0.9986  3 Re 2.74, 3 Br 2.80, 6 Mo 2.93
Mo2 0.5014 0.5014 0.5014  3 Re 2.74, 3 Br 2.80, 6 Mo 2.93
Br1 0.7500 0.7500 0.7500  6 Mo 2.80, 6 Br 2.93


# 7
A relaxed ReMoBr2 crystal. Source: Alexandria via LeMat-Bulk, functional PBE.

Summary:
Size of the total moment: 0.0 Bohr magnetons per cell
Raw formation energy: 1.421 eV/atom
Offset from the most stable computed form: 1286 meV/atom
Space group: P4/mmm (123)
DOS(E_F): 4.77 states/eV/cell

Cell lengths 4.5514, 4.5515, 3.1999 Å; angles 90.00, 90.00, 90.00 degrees
Last column: nearest neighbours and their distance in Å.
Atoms (fractional coordinates):
Re1 0.0000 0.5000 0.5000  8 Br 2.78
Mo1 0.5000 0.0000 0.5000  8 Br 2.78
Br1 0.0000 0.0000 0.0000  4 Mo 2.78, 4 Re 2.78
Br2 0.5000 0.5000 0.0000  4 Re 2.78, 4 Mo 2.78


# 8
A relaxed ReMoBr2 crystal. Source: Alexandria via LeMat-Bulk, functional PBE.

Summary:
Size of the total moment: 2.5 Bohr magnetons per cell
Raw formation energy: 1.296 eV/atom
Offset from the most stable computed form: 1161 meV/atom
Space group: P2/m (10)
DOS(E_F): 4.42 states/eV/cell

Cell lengths 4.5420, 3.1307, 5.2847 Å; angles 95.42, 90.00, 90.00 degrees
Last column: nearest neighbours and their distance in Å.
Atoms (fractional coordinates):
Re1 0.5000 0.7500 0.7500  4 Br 2.70, 2 Mo 2.94
Mo1 0.5000 0.2500 0.2500  4 Br 2.71, 2 Re 2.94
Br1 0.0000 0.9996 0.9993  2 Re 2.70, 2 Mo 2.71, 2 Br 2.93-2.95
Br2 0.0000 0.5004 0.5007  2 Re 2.70, 2 Mo 2.71, 2 Br 2.93-2.95


# 9
A relaxed ReMoBr crystal. Source: Alexandria via LeMat-Bulk, functional PBE.

Summary:
Size of the total moment: 0.0 Bohr magnetons per cell
Raw formation energy: 1.087 eV/atom
Offset from the most stable computed form: 586 meV/atom
Space group: Imm2 (44)
DOS(E_F): 2.91 states/eV/cell

Cell lengths 4.7354, 4.7354, 4.7354 Å; angles 143.37, 127.92, 65.35 degrees
Last column: nearest neighbours and their distance in Å.
Atoms (fractional coordinates):
Re1 0.6708 0.6708 0.0000  5 Br 2.61-2.90, 5 Mo 2.71-2.86
Mo1 0.3309 0.3309 0.0000  5 Br 2.65-2.88, 5 Re 2.71-2.86
Br1 0.9982 0.9982 0.0000  5 Re 2.61-2.90, 5 Mo 2.65-2.88


# 10
A relaxed Re2MoBr crystal. Source: Alexandria via LeMat-Bulk, functional PBE.

Summary:
Size of the total moment: 0.0 Bohr magnetons per cell
Raw formation energy: 1.256 eV/atom
Offset from the most stable computed form: 660 meV/atom
Space group: Fm-3m (225)
DOS(E_F): 5.90 states/eV/cell

Cell lengths 4.4919, 4.4919, 4.4919 Å; angles 60.00, 60.00, 60.00 degrees
Last column: nearest neighbours and their distance in Å.
Atoms (fractional coordinates):
Re1 0.2500 0.2500 0.2500  4 Mo 2.75, 4 Br 2.75
Re2 0.7500 0.7500 0.7500  4 Mo 2.75, 4 Br 2.75
Mo1 0.5000 0.5000 0.5000  8 Re 2.75
Br1 0.0000 0.0000 0.0000  8 Re 2.75


# 11
A relaxed ReMoBr crystal. Source: Alexandria via LeMat-Bulk, functional PBE.

Summary:
Size of the total moment: 0.0 Bohr magnetons per cell
Raw formation energy: 0.501 eV/atom
Offset from the most stable computed form: 0 meV/atom
Space group: P3m1 (156)
DOS(E_F): 1.15 states/eV/cell

Cell lengths 3.3642, 3.3642, 6.1397 Å; angles 90.00, 90.00, 120.00 degrees
Last column: nearest neighbours and their distance in Å.
Atoms (fractional coordinates):
Re1 0.3333 0.6667 0.6147  3 Mo 2.43
Mo1 0.6667 0.3333 0.3772  3 Re 2.43
Br1 0.0000 0.0000 0.0081  3 Mo 2.98, 3 Re 3.10


# 12
A relaxed ReMoBr2 crystal. Source: Alexandria via LeMat-Bulk, functional PBE.

Summary:
Size of the total moment: 0.0 Bohr magnetons per cell
Raw formation energy: 1.410 eV/atom
Offset from the most stable computed form: 1276 meV/atom
Space group: I-4m2 (119)
DOS(E_F): 3.64 states/eV/cell

Cell lengths 4.9038, 4.9038, 4.9038 Å; angles 127.60, 127.60, 77.27 degrees
Last column: nearest neighbours and their distance in Å.
Atoms (fractional coordinates):
Re1 0.7500 0.2500 0.5000  4 Mo 2.89, 8 Br 2.89-3.06
Mo1 0.5000 0.5000 0.0000  4 Re 2.89, 8 Br 2.89-3.06
Br1 0.0000 0.0000 0.0000  4 Re 2.89, 4 Br 2.89, 4 Mo 3.06
Br2 0.2500 0.7500 0.5000  4 Br 2.89, 4 Mo 2.89, 4 Re 3.06


# 13
A relaxed Re2MoBr crystal. Source: Alexandria via LeMat-Bulk, functional PBE.

Summary:
Size of the total moment: 0.0 Bohr magnetons per cell
Raw formation energy: 0.900 eV/atom
Offset from the most stable computed form: 304 meV/atom
Space group: Cm (8)
DOS(E_F): 3.40 states/eV/cell

Cell lengths 5.1221, 5.1221, 4.5422 Å; angles 86.28, 86.28, 33.89 degrees
Last column: nearest neighbours and their distance in Å.
Atoms (fractional coordinates):
Re1 0.9922 0.9922 0.9695  4 Br 2.60-2.84, 2 Mo 2.75, 3 Re 2.77-2.82
Re2 0.7214 0.7214 0.7972  2 Mo 2.58, 1 Br 2.60, 3 Re 2.77-2.82
Mo1 0.2826 0.2826 0.2329  1 Br 2.56, 4 Re 2.58-2.75
Br1 0.5037 0.5037 0.5004  1 Mo 2.56, 5 Re 2.60-2.84


# 14
A relaxed Re2MoBr crystal. Source: Alexandria via LeMat-Bulk, functional PBE.

Summary:
Size of the total moment: 0.0 Bohr magnetons per cell
Raw formation energy: 0.826 eV/atom
Offset from the most stable computed form: 230 meV/atom
Space group: Immm (71)
DOS(E_F): 2.54 states/eV/cell

Cell lengths 5.3869, 5.3869, 5.3869 Å; angles 148.24, 130.16, 60.32 degrees
Last column: nearest neighbours and their distance in Å.
Atoms (fractional coordinates):
Re1 0.9840 0.9840 0.0000  2 Br 2.63, 4 Re 2.72, 2 Mo 2.88
Re2 0.5160 0.5160 0.0000  2 Br 2.63, 4 Re 2.72, 2 Mo 2.88
Mo1 0.2500 0.7500 0.5000  4 Br 2.71, 4 Re 2.88, 2 Mo 2.95
Br1 0.7500 0.2500 0.5000  4 Re 2.63, 4 Mo 2.71


# 15
A relaxed ReMo2Br crystal. Source: Alexandria via LeMat-Bulk, functional PBE.

Summary:
Size of the total moment: 0.0 Bohr magnetons per cell
Raw formation energy: 0.989 eV/atom
Offset from the most stable computed form: 583 meV/atom
Space group: Fm-3m (225)
DOS(E_F): 5.51 states/eV/cell

Cell lengths 4.5067, 4.5067, 4.5067 Å; angles 60.00, 60.00, 60.00 degrees
Last column: nearest neighbours and their distance in Å.
Atoms (fractional coordinates):
Re1 0.5000 0.5000 0.5000  8 Mo 2.76
Mo1 0.2500 0.2500 0.2500  4 Re 2.76, 4 Br 2.76
Mo2 0.7500 0.7500 0.7500  4 Re 2.76, 4 Br 2.76
Br1 0.0000 0.0000 0.0000  8 Mo 2.76


# 16
A relaxed Re2MoBr crystal. Source: Alexandria via LeMat-Bulk, functional PBE.

Summary:
Size of the total moment: 0.0 Bohr magnetons per cell
Raw formation energy: 1.682 eV/atom
Offset from the most stable computed form: 1085 meV/atom
Space group: I-42d (122)
DOS(E_F): 5.94 states/eV/cell

Cell lengths 5.6877, 5.6877, 6.8872 Å; angles 65.61, 65.61, 90.00 degrees
Last column: nearest neighbours and their distance in Å.
Atoms (fractional coordinates):
Re1 0.6238 0.1250 0.2500  2 Br 2.45, 2 Mo 2.45
Re2 0.1262 0.6250 0.2500  2 Br 2.45, 2 Mo 2.45
Re3 0.3750 0.3762 0.7500  2 Br 2.45, 2 Mo 2.45
Re4 0.8750 0.8738 0.7500  2 Br 2.45, 2 Mo 2.45
Mo1 0.0000 0.0000 0.0000  4 Re 2.45
Mo2 0.7500 0.2500 0.5000  4 Re 2.45
Br1 0.5000 0.5000 0.0000  4 Re 2.45
Br2 0.2500 0.7500 0.5000  4 Re 2.45


# 17
A relaxed ReMoBr2 crystal. Source: Alexandria via LeMat-Bulk, functional PBE.

Summary:
Size of the total moment: 0.0 Bohr magnetons per cell
Raw formation energy: 0.352 eV/atom
Offset from the most stable computed form: 217 meV/atom
Space group: P4mm (99)
DOS(E_F): 4.34 states/eV/cell

Cell lengths 3.0396, 3.0396, 8.8981 Å; angles 90.00, 90.00, 90.00 degrees
Last column: nearest neighbours and their distance in Å.
Atoms (fractional coordinates):
Re1 0.5000 0.5000 0.7200  4 Mo 2.75, 4 Br 2.81, 4 Re 3.04
Mo1 0.0000 0.0000 0.5280  4 Re 2.75, 4 Br 2.79, 4 Mo 3.04
Br1 0.0000 0.0000 0.9237  4 Re 2.81, 4 Br 3.04
Br2 0.5000 0.5000 0.3283  4 Mo 2.79, 4 Br 3.04


# 18
A relaxed ReMo2Br crystal. Source: Alexandria via LeMat-Bulk, functional PBE.

Summary:
Size of the total moment: 0.0 Bohr magnetons per cell
Raw formation energy: 1.317 eV/atom
Offset from the most stable computed form: 911 meV/atom
Space group: I-42d (122)
DOS(E_F): 8.76 states/eV/cell

Cell lengths 5.8898, 5.8898, 6.7727 Å; angles 64.23, 64.23, 90.00 degrees
Last column: nearest neighbours and their distance in Å.
Atoms (fractional coordinates):
Re1 0.0000 0.0000 0.0000  4 Mo 2.44
Re2 0.7500 0.2500 0.5000  4 Mo 2.44
Mo1 0.6359 0.1250 0.2500  2 Re 2.44, 2 Br 2.51
Mo2 0.1141 0.6250 0.2500  2 Re 2.44, 2 Br 2.51
Mo3 0.3750 0.3641 0.7500  2 Re 2.44, 2 Br 2.51
Mo4 0.8750 0.8859 0.7500  2 Re 2.44, 2 Br 2.51
Br1 0.5000 0.5000 0.0000  4 Mo 2.51
Br2 0.2500 0.7500 0.5000  4 Mo 2.51


# 19
A relaxed ReMo2Br crystal. Source: Alexandria via LeMat-Bulk, functional PBE.

Summary:
Size of the total moment: 0.0 Bohr magnetons per cell
Raw formation energy: 0.769 eV/atom
Offset from the most stable computed form: 363 meV/atom
Space group: Cm (8)
DOS(E_F): 3.97 states/eV/cell

Cell lengths 5.1733, 5.1733, 4.5053 Å; angles 86.77, 86.77, 33.88 degrees
Last column: nearest neighbours and their distance in Å.
Atoms (fractional coordinates):
Re1 0.4739 0.4739 0.5461  5 Mo 2.56-2.85, 1 Br 2.65
Mo1 0.0276 0.0276 0.9841  2 Re 2.56, 1 Br 2.58, 2 Mo 2.80
Mo2 0.7440 0.7440 0.7327  4 Br 2.69-2.73, 2 Mo 2.80, 3 Re 2.82-2.85
Br1 0.2545 0.2545 0.2372  5 Mo 2.58-2.73, 1 Re 2.65


# 20
A relaxed ReMoBr2 crystal. Source: Alexandria via LeMat-Bulk, functional PBE.

Summary:
Size of the total moment: 2.2 Bohr magnetons per cell
Raw formation energy: 1.284 eV/atom
Offset from the most stable computed form: 1150 meV/atom
Space group: C2/m (12)
DOS(E_F): 4.48 states/eV/cell

Cell lengths 5.5406, 5.5406, 3.1618 Å; angles 71.00, 71.00, 110.32 degrees
Last column: nearest neighbours and their distance in Å.
Atoms (fractional coordinates):
Re1 0.0000 0.5000 0.5000  4 Br 2.71, 2 Mo 2.93
Mo1 0.5000 0.0000 0.5000  4 Br 2.71, 2 Re 2.93
Br1 0.0000 0.0000 0.0000  2 Re 2.71, 2 Mo 2.71, 2 Br 2.93
Br2 0.5000 0.5000 0.0000  2 Mo 2.71, 2 Re 2.71, 2 Br 2.93